Entry 1:
LaNiMo2: optimized geometry, PBE.

a b c (Å): 5.124 5.124 5.105
angles (deg): 100.42 100.42 35.94
Fractional positions:
1 La 0.000 0.000 0.000
2 Ni 0.500 0.500 0.500
3 Mo 0.215 0.215 0.659
4 Mo 0.785 0.785 0.341

Polymorph energy (0 for the lowest one)   15.4 kJ/mol of atoms
Magnetization   0.000 μB/f.u.
Formation energy   0.377 eV per atom



Entry 2:
Hg4S2Br5: optimized geometry, PBE.

a b c (Å): 4.205 9.504 10.318
angles (deg): 103.85 98.83 99.70
Fractional positions:
1 Hg 0.002 0.227 0.000
2 Hg 0.353 0.383 0.658
3 Hg 0.647 0.617 0.342
4 Hg 0.998 0.773 0.000
5 S 0.496 0.394 0.946
6 S 0.504 0.606 0.054
7 Br 0.171 0.818 0.400
8 Br 0.213 0.383 0.317
9 Br 0.500 0.000 0.000
10 Br 0.787 0.617 0.683
11 Br 0.829 0.182 0.600

Magnetization   0.000 μB/f.u.
Formation energy without anion corrections   -0.2514 eV per atom



Entry 3:
AsCS2: optimized geometry, PBE.

a b c (Å): 3.186 5.969 5.984
angles (deg): 71.10 75.00 74.99
Fractional positions:
1 As 0.000 0.000 0.000
2 C 0.489 0.843 0.181
3 S 0.564 0.550 0.321
4 S 0.803 0.386 0.010

Polymorph energy (0 for the lowest one)   12.5 kJ/mol of atoms
Magnetization   0.000 μB/f.u.
Formation energy without anion corrections   0.6204 eV per atom



Entry 4:
Hg2SbIr: optimized geometry, PBE.

a b c (Å): 9.522 9.522 9.522
angles (deg): 19.85 19.85 19.85
Fractional positions:
1 Hg 0.241 0.241 0.241
2 Hg 0.759 0.759 0.759
3 Sb 0.000 0.000 0.000
4 Ir 0.500 0.500 0.500

Magnetization   0.000 μB/f.u.
Formation energy without anion corrections   0.5394 eV per atom



no.,Fermi-level density of states (states/eV/atom),E_tot (eV for the cell shown)
1,1.109,-30.86
2,0.122,-20.59
3,0.223,-19.65
4,0.490,-11.43